Entry 1:
Computed, not measured: an optimized crystal structure of La6SmIn2 at the PBE level of DFT.

space-group type: C2/m (12)
E_form: -0.221 eV/atom
D(E_F): 10.2 states/eV per cell

Unit cell a=4.802 b=8.313 c=8.252 alpha=109.05 beta=106.91 gamma=90.00
Sites, in units of the cell vectors:
1 La 0.402 0.854 0.805
2 La 0.598 0.146 0.195
3 La 0.723 0.843 0.445
4 La 0.167 0.490 0.334
5 La 0.277 0.157 0.555
6 La 0.833 0.510 0.666
7 Sm 0.500 0.500 0.000
8 In 0.942 0.185 0.883
9 In 0.058 0.815 0.117


Entry 2:
Computed, not measured: an optimized crystal structure of LaSm2In6 at the PBE level of DFT.

space-group type: Immm (71)
E_form: -0.356 eV/atom
D(E_F): 4.7 states/eV per cell

Unit cell a=4.687 b=8.625 c=8.625 alpha=53.46 beta=74.23 gamma=74.23
Sites, in units of the cell vectors:
1 La 0.000 0.000 0.000
2 Sm 0.878 0.622 0.622
3 Sm 0.122 0.378 0.378
4 In 0.689 0.006 0.616
5 In 0.311 0.994 0.384
6 In 0.311 0.384 0.994
7 In 0.500 0.690 0.310
8 In 0.500 0.310 0.690
9 In 0.689 0.616 0.006


Entry 3:
Computed, not measured: an optimized crystal structure of La4Sm9In11 at the PBE level of DFT.

space-group type: Cmmm (65)
E_form: -0.424 eV/atom
D(E_F): 22.6 states/eV per cell

Unit cell a=3.579 b=14.457 c=14.457 alpha=111.11 beta=90.00 gamma=90.00
Sites, in units of the cell vectors:
1 La 0.500 0.594 0.758
2 La 0.500 0.406 0.242
3 La 0.500 0.758 0.594
4 La 0.500 0.242 0.406
5 Sm 0.500 0.609 0.166
6 Sm 0.500 0.391 0.834
7 Sm 0.500 0.166 0.609
8 Sm 0.500 0.834 0.391
9 Sm 0.500 0.796 0.992
10 Sm 0.500 0.204 0.008
11 Sm 0.500 0.992 0.796
12 Sm 0.500 0.008 0.204
13 Sm 0.500 0.500 0.500
14 In 0.000 0.591 0.963
15 In 0.000 0.409 0.037
16 In 0.000 0.963 0.591
17 In 0.000 0.037 0.409
18 In 0.000 0.621 0.379
19 In 0.000 0.379 0.621
20 In 0.000 0.810 0.190
21 In 0.000 0.190 0.810
22 In 0.000 0.000 0.000
23 In 0.000 0.804 0.804
24 In 0.000 0.196 0.196


Entry 4:
Computed, not measured: an optimized crystal structure of LaSmIn at the PBE level of DFT.

space-group type: P4/nmm (129)
E_form: -0.309 eV/atom
D(E_F): 8.0 states/eV per cell

Unit cell a=4.841 b=4.840 c=8.522 alpha=90.00 beta=90.01 gamma=90.00
Sites, in units of the cell vectors:
1 La 0.750 0.250 0.853
2 La 0.250 0.750 0.147
3 Sm 0.250 0.250 0.500
4 Sm 0.750 0.750 0.500
5 In 0.750 0.250 0.238
6 In 0.250 0.750 0.762


Entry 5:
Computed, not measured: an optimized crystal structure of La2SmIn2 at the PBE level of DFT.

space-group type: Immm (71)
E_form: -0.401 eV/atom
D(E_F): 3.8 states/eV per cell

Unit cell a=5.190 b=6.136 c=6.136 alpha=72.84 beta=64.98 gamma=64.98
Sites, in units of the cell vectors:
1 La 0.189 0.311 0.311
2 La 0.811 0.689 0.689
3 Sm 0.000 0.000 0.000
4 In 0.500 0.291 0.709
5 In 0.500 0.709 0.291


Entry 6:
Computed, not measured: an optimized crystal structure of La5Sm8In at the PBE level of DFT.

space-group type: C2 (5)
E_form: 0.080 eV/atom
D(E_F): 20.1 states/eV per cell

Unit cell a=8.981 b=8.971 c=8.981 alpha=86.10 beta=122.75 gamma=121.84
Sites, in units of the cell vectors:
1 La 0.966 0.239 0.928
2 La 0.942 0.827 0.208
3 La 0.689 0.761 0.727
4 La 0.503 0.000 0.503
5 La 0.380 0.173 0.115
6 Sm 0.114 0.685 0.038
7 Sm 0.002 0.061 0.572
8 Sm 0.007 0.429 0.326
9 Sm 0.592 0.370 0.882
10 Sm 0.512 0.630 0.222
11 Sm 0.511 0.939 0.941
12 Sm 0.353 0.315 0.429
13 Sm 0.898 0.571 0.578
14 In 0.280 0.500 0.780


Entry 7:
Computed, not measured: an optimized crystal structure of La2Sm12In at the PBE level of DFT.

space-group type: P4/nbm (125)
E_form: 0.208 eV/atom
D(E_F): 39.6 states/eV per cell

Unit cell a=6.724 b=6.724 c=23.646 alpha=90.00 beta=90.00 gamma=90.00
Sites, in units of the cell vectors:
1 La 0.500 0.000 0.247
2 La 0.000 0.500 0.247
3 La 0.000 0.500 0.753
4 La 0.500 0.000 0.753
5 Sm 0.500 0.500 0.801
6 Sm 0.000 0.000 0.801
7 Sm 0.753 0.747 0.909
8 Sm 0.253 0.753 0.909
9 Sm 0.000 0.000 0.330
10 Sm 0.247 0.747 0.091
11 Sm 0.834 0.334 0.565
12 Sm 0.500 0.500 0.330
13 Sm 0.247 0.253 0.909
14 Sm 0.747 0.753 0.091
15 Sm 0.334 0.166 0.565
16 Sm 0.666 0.166 0.435
17 Sm 0.000 0.000 0.670
18 Sm 0.166 0.334 0.435
19 Sm 0.253 0.247 0.091
20 Sm 0.834 0.666 0.435
21 Sm 0.666 0.834 0.565
22 Sm 0.000 0.000 0.199
23 Sm 0.166 0.666 0.565
24 Sm 0.500 0.500 0.670
25 Sm 0.747 0.247 0.909
26 Sm 0.500 0.500 0.199
27 Sm 0.334 0.834 0.435
28 Sm 0.753 0.253 0.091
29 In 0.500 0.000 0.000
30 In 0.000 0.500 0.000


Entry 8:
Computed, not measured: an optimized crystal structure of La8Sm2In at the PBE level of DFT.

space-group type: C2/m (12)
E_form: -0.033 eV/atom
D(E_F): 16.6 states/eV per cell

Unit cell a=5.767 b=9.180 c=9.079 alpha=119.15 beta=108.52 gamma=90.00
Sites, in units of the cell vectors:
1 La 0.579 0.428 0.159
2 La 0.321 0.065 0.642
3 La 0.124 0.160 0.249
4 La 0.072 0.718 0.145
5 La 0.876 0.840 0.751
6 La 0.679 0.935 0.358
7 La 0.421 0.572 0.841
8 La 0.928 0.282 0.855
9 Sm 0.234 0.602 0.469
10 Sm 0.766 0.398 0.531
11 In 0.500 0.000 0.000


Entry 9:
Computed, not measured: an optimized crystal structure of La9SmIn2 at the PBE level of DFT.

space-group type: P4/mmm (123)
E_form: -0.187 eV/atom
D(E_F): 16.7 states/eV per cell

Unit cell a=5.105 b=5.105 c=15.496 alpha=90.00 beta=90.00 gamma=90.00
Sites, in units of the cell vectors:
1 La 0.500 0.500 0.000
2 La 0.500 0.500 0.338
3 La 0.500 0.500 0.662
4 La 0.500 0.000 0.173
5 La 0.500 0.000 0.500
6 La 0.500 0.000 0.827
7 La 0.000 0.500 0.173
8 La 0.000 0.500 0.500
9 La 0.000 0.500 0.827
10 Sm 0.000 0.000 0.000
11 In 0.000 0.000 0.337
12 In 0.000 0.000 0.663


Entry 10:
Computed, not measured: an optimized crystal structure of La3Sm8In at the PBE level of DFT.

space-group type: I-42m (121)
E_form: 0.416 eV/atom
D(E_F): 18.3 states/eV per cell

Unit cell a=8.439 b=8.439 c=8.439 alpha=94.29 beta=117.55 gamma=117.55
Sites, in units of the cell vectors:
1 La 0.500 0.750 0.250
2 La 0.500 0.250 0.750
3 La 0.000 0.500 0.500
4 Sm 0.504 0.262 0.262
5 Sm 0.496 0.758 0.758
6 Sm 0.000 0.738 0.242
7 Sm 0.000 0.242 0.738
8 Sm 0.249 0.375 0.375
9 Sm 0.751 0.126 0.126
10 Sm 0.000 0.625 0.874
11 Sm 0.000 0.874 0.625
12 In 0.000 0.000 0.000


Entry 11:
Computed, not measured: an optimized crystal structure of La6SmIn2 at the PBE level of DFT.

space-group type: P-62m (189)
E_form: -0.164 eV/atom
D(E_F): 10.2 states/eV per cell

Unit cell a=5.075 b=8.428 c=8.428 alpha=120.00 beta=90.00 gamma=90.00
Sites, in units of the cell vectors:
1 La 0.500 0.571 0.000
2 La 0.500 0.429 0.429
3 La 0.500 0.000 0.571
4 La 0.000 0.250 0.000
5 La 0.000 0.750 0.750
6 La 0.000 0.000 0.250
7 Sm 0.500 0.000 0.000
8 In 0.000 0.333 0.667
9 In 0.000 0.667 0.333


Entry 12:
Computed, not measured: an optimized crystal structure of LaSm2In2 at the PBE level of DFT.

space-group type: P2_1/m (11)
E_form: -0.301 eV/atom
D(E_F): 9.4 states/eV per cell

Unit cell a=7.025 b=8.742 c=9.329 alpha=72.36 beta=67.84 gamma=36.53
Sites, in units of the cell vectors:
1 La 0.834 0.750 0.327
2 La 0.166 0.250 0.673
3 Sm 0.480 0.750 0.039
4 Sm 0.704 0.250 0.594
5 Sm 0.520 0.250 0.961
6 Sm 0.296 0.750 0.406
7 In 0.658 0.250 0.250
8 In 0.911 0.750 0.753
9 In 0.089 0.250 0.247
10 In 0.342 0.750 0.750


Entry 13:
Computed, not measured: an optimized crystal structure of La3SmIn3 at the PBE level of DFT.

space-group type: Cmmm (65)
E_form: -0.306 eV/atom
D(E_F): 13.1 states/eV per cell

Unit cell a=6.657 b=6.657 c=11.116 alpha=89.99 beta=89.99 gamma=115.51
Sites, in units of the cell vectors:
1 La 0.499 0.499 0.322
2 La 0.170 0.830 0.500
3 La 0.830 0.170 0.500
4 La 0.227 0.773 0.000
5 La 0.773 0.227 0.000
6 La 0.501 0.501 0.678
7 Sm 0.729 0.729 0.000
8 Sm 0.271 0.271 0.000
9 In 0.000 0.000 0.245
10 In 0.000 0.500 0.746
11 In 0.500 0.000 0.746
12 In 0.000 0.500 0.254
13 In 0.500 0.000 0.254
14 In 0.000 0.000 0.755


Entry 14:
Computed, not measured: an optimized crystal structure of La4Sm4In at the PBE level of DFT.

space-group type: I4/mmm (139)
E_form: -0.075 eV/atom
D(E_F): 13.2 states/eV per cell

Unit cell a=5.060 b=8.151 c=8.151 alpha=84.47 beta=71.92 gamma=71.92
Sites, in units of the cell vectors:
1 La 0.661 0.678 0.000
2 La 0.339 0.322 0.000
3 La 0.661 0.000 0.678
4 La 0.339 0.000 0.322
5 Sm 0.666 0.334 0.334
6 Sm 0.334 0.666 0.666
7 Sm 0.000 0.666 0.334
8 Sm 0.000 0.334 0.666
9 In 0.000 0.000 0.000


Entry 15:
Computed, not measured: an optimized crystal structure of LaSmIn2 at the PBE level of DFT.

space-group type: R-3m (166)
E_form: -0.310 eV/atom
D(E_F): 2.5 states/eV per cell

Unit cell a=3.851 b=3.851 c=10.178 alpha=79.09 beta=79.09 gamma=60.00
Sites, in units of the cell vectors:
1 In 0.752 0.752 0.743
2 In 0.248 0.248 0.257
3 Sm 0.500 0.500 0.500
4 La 0.000 0.000 0.000


Entry 16:
Computed, not measured: an optimized crystal structure of La2SmIn at the PBE level of DFT.

space-group type: R-3m (166)
E_form: 0.099 eV/atom
D(E_F): 4.6 states/eV per cell

Unit cell a=3.588 b=3.588 c=12.822 alpha=81.96 beta=81.96 gamma=60.00
Sites, in units of the cell vectors:
1 In 0.000 0.000 0.000
2 Sm 0.500 0.500 0.500
3 La 0.088 0.088 0.735
4 La 0.912 0.912 0.265


Entry 17:
Computed, not measured: an optimized crystal structure of La4Sm5In at the PBE level of DFT.

space-group type: P4/mmm (123)
E_form: -0.010 eV/atom
D(E_F): 16.5 states/eV per cell

Unit cell a=4.264 b=4.264 c=18.490 alpha=90.00 beta=90.00 gamma=90.00
Sites, in units of the cell vectors:
1 La 0.000 0.000 0.196
2 La 0.000 0.000 0.395
3 La 0.000 0.000 0.605
4 La 0.000 0.000 0.804
5 Sm 0.500 0.500 0.086
6 Sm 0.500 0.500 0.289
7 Sm 0.500 0.500 0.500
8 Sm 0.500 0.500 0.711
9 Sm 0.500 0.500 0.914
10 In 0.000 0.000 0.000


Entry 18:
Computed, not measured: an optimized crystal structure of La6Sm2In at the PBE level of DFT.

space-group type: P-62m (189)
E_form: -0.103 eV/atom
D(E_F): 13.2 states/eV per cell

Unit cell a=3.737 b=9.890 c=9.892 alpha=119.99 beta=90.00 gamma=90.00
Sites, in units of the cell vectors:
1 La 0.500 0.635 0.000
2 La 0.500 0.365 0.365
3 La 0.500 0.000 0.635
4 La 0.000 0.283 0.000
5 La 0.000 0.717 0.717
6 La 0.000 0.000 0.283
7 Sm 0.000 0.333 0.667
8 Sm 0.000 0.667 0.333
9 In 0.500 0.000 0.000


Entry 19:
Computed, not measured: an optimized crystal structure of LaSm15In4 at the PBE level of DFT.

space-group type: P4/mmm (123)
E_form: -0.202 eV/atom
D(E_F): 30.0 states/eV per cell

Unit cell a=4.943 b=4.943 c=25.314 alpha=90.00 beta=90.00 gamma=90.00
Sites, in units of the cell vectors:
1 La 0.000 0.000 0.000
2 Sm 0.500 0.500 0.000
3 Sm 0.500 0.500 0.208
4 Sm 0.500 0.500 0.402
5 Sm 0.500 0.500 0.598
6 Sm 0.500 0.500 0.792
7 Sm 0.500 0.000 0.108
8 Sm 0.500 0.000 0.304
9 Sm 0.500 0.000 0.500
10 Sm 0.500 0.000 0.696
11 Sm 0.500 0.000 0.892
12 Sm 0.000 0.500 0.108
13 Sm 0.000 0.500 0.304
14 Sm 0.000 0.500 0.500
15 Sm 0.000 0.500 0.696
16 Sm 0.000 0.500 0.892
17 In 0.000 0.000 0.207
18 In 0.000 0.000 0.403
19 In 0.000 0.000 0.597
20 In 0.000 0.000 0.793


Entry 20:
Computed, not measured: an optimized crystal structure of La4Sm7In at the PBE level of DFT.

space-group type: C2/m (12)
E_form: 0.116 eV/atom
D(E_F): 16.6 states/eV per cell

Unit cell a=6.040 b=8.980 c=9.250 alpha=67.65 beta=70.94 gamma=70.35
Sites, in units of the cell vectors:
1 La 0.574 0.292 0.561
2 La 0.426 0.708 0.439
3 La 0.779 0.750 0.691
4 La 0.221 0.250 0.309
5 Sm 0.815 0.033 0.337
6 Sm 0.185 0.967 0.663
7 Sm 0.049 0.648 0.255
8 Sm 0.951 0.352 0.745
9 Sm 0.297 0.526 0.881
10 Sm 0.500 0.000 0.000
11 Sm 0.703 0.474 0.119
12 In 0.000 0.000 0.000


It is found that the volume values, taken in the order of the records, are 296 267 698 200 159 493 1069 391 404 439 312 316 445 304 128 141 336 317 618 425 Å³ per cell.